Rb2AsPt: relaxed, PBE.

Cell and atoms, written as CIF:
```
data_Rb2AsPt
_chemical_formula_sum 'Rb8 As4 Pt4'
_cell_length_a 13.0378
_cell_length_b 13.0378
_cell_length_c 4.6453
_cell_angle_alpha 90.00
_cell_angle_beta 90.00
_cell_angle_gamma 90.00
_space_group_name_H-M_alt 'I -4 2 d'
_space_group_IT_number 122
_space_group_name_Hall 'I -4 2bw'
loop_
_atom_site_label
_atom_site_fract_x
_atom_site_fract_y
_atom_site_fract_z
Rb1 0.0377 0.7500 0.1250
As1 0.0000 0.0000 0.5000
Pt1 0.0000 0.0000 0.0000
```

Calculated values
As for the crystal system: tetragonal. Its formation energy is -1.37 eV/f.u. Its total moment is 0.0 μB/f.u.

EuURh4: relaxed, PBE.

Cell and atoms, written as CIF:
```
data_EuURh4
_chemical_formula_sum 'Eu4 U4 Rh16'
_cell_length_a 7.5555
_cell_length_b 7.5555
_cell_length_c 7.5555
_cell_angle_alpha 90.00
_cell_angle_beta 90.00
_cell_angle_gamma 90.00
_space_group_name_H-M_alt 'F -4 3 m'
_space_group_IT_number 216
_space_group_name_Hall 'F -4 2 3'
loop_
_atom_site_label
_atom_site_fract_x
_atom_site_fract_y
_atom_site_fract_z
Eu1 0.0000 0.0000 0.0000
U1 0.2500 0.2500 0.2500
Rh1 0.1248 0.1248 0.6248
```

Calculated values
As for the crystal system: cubic. Its formation energy is -2.57 eV/f.u. Its total moment is 8.7 μB/f.u.